Entry 1:
DFT (PBE) results for crystalline MgTaC at its relaxed geometry. Values from VASP.

Calculated values
Energy of formation (eV/atom): -0.02
Total magnetization (μB per atom): 0.000
SG: C2/m, No. 12

Quantum ESPRESSO input file:
```
&SYSTEM
  ibrav = 0, nat = 6, ntyp = 3
/
ATOMIC_SPECIES
Mg 24.30 Mg.upf
C 12.01 C.upf
Ta 180.95 Ta.upf
CELL_PARAMETERS angstrom
3.453 -0.187 0.880
1.563 3.085 0.880
2.765 1.597 10.358
ATOMIC_POSITIONS crystal
Mg 0.928 0.928 0.277
Mg 0.825 0.825 0.030
C 0.680 0.680 0.522
C 0.073 0.073 0.785
Ta 0.317 0.317 0.538
Ta 0.436 0.436 0.770
```


Entry 2:
DFT (PBE) results for crystalline Mg3TaC at its relaxed geometry. Values from VASP.

Calculated values
Energy of formation (eV/atom): 2.67
Total magnetization (μB per atom): 0.382
SG: Pm-3m, No. 221

Quantum ESPRESSO input file:
```
&SYSTEM
  ibrav = 0, nat = 5, ntyp = 3
/
ATOMIC_SPECIES
Mg 24.30 Mg.upf
C 12.01 C.upf
Ta 180.95 Ta.upf
CELL_PARAMETERS angstrom
5.378 0.000 0.000
0.000 5.378 0.000
0.000 0.000 5.378
ATOMIC_POSITIONS crystal
Mg 0.000 0.500 0.000
Mg 0.000 0.000 0.500
Mg 0.500 0.000 0.000
C 0.500 0.500 0.500
Ta 0.000 0.000 0.000
```


Entry 3:
DFT (PBE) results for crystalline MgTa2WC at its relaxed geometry. Values from VASP.

Calculated values
Energy of formation (eV/atom): 3.37
Total magnetization (μB per atom): 0.000
SG: P4/mmm, No. 123

Quantum ESPRESSO input file:
```
&SYSTEM
  ibrav = 0, nat = 5, ntyp = 4
/
ATOMIC_SPECIES
Mg 24.30 Mg.upf
C 12.01 C.upf
W 183.84 W.upf
Ta 180.95 Ta.upf
CELL_PARAMETERS angstrom
4.690 0.000 0.000
0.000 4.513 0.000
0.000 0.000 4.690
ATOMIC_POSITIONS crystal
Mg 0.000 0.000 0.000
C 0.500 0.500 0.500
W 0.000 0.500 0.000
Ta 0.000 0.000 0.500
Ta 0.500 0.000 0.000
```